Pa3RuRh2 | PBE | optimized geometry

a = 6.6944 Å, b = 8.1762 Å, c = 4.6977 Å
α = 73.28°, β = 90.00°, γ = 114.17°
Positions (direct):
1 Pa 0.6254 0.0000 0.7500
2 Pa 0.2906 0.3315 0.0843
3 Pa 0.3746 0.0000 0.2500
4 Pa 0.9591 0.6685 0.4157
5 Pa 0.7094 0.6685 0.9157
6 Pa 0.0409 0.3315 0.5843
7 Rh 0.7915 0.3361 0.0822
8 Rh 0.2085 0.6639 0.9178
9 Rh 0.5446 0.3361 0.5822
10 Rh 0.4554 0.6639 0.4178
11 Ru 0.8708 0.0000 0.2500
12 Ru 0.1292 0.0000 0.7500

Summary:
Total energy = -9.3112 eV per atom
Formation enthalpy at 0 K = -567 meV per atom
SG = Imma, No. 74

=====

NaF2 | PBE | optimized geometry

a = 3.6306 Å, b = 3.6306 Å, c = 4.3268 Å
α = 124.80°, β = 124.80°, γ = 73.24°
Positions (direct):
1 F 0.2498 0.2498 0.2520
2 F 0.7502 0.7502 0.7480
3 Na 0.5000 0.5000 0.0000

Summary:
Total energy = -3.5120 eV per atom
Energy relative to the elements, uncorrected = -1.825 eV/atom
ΔE to the lowest computed polymorph = 0.0 meV/atom
SG = C2/m, No. 12

=====

La12Nd3Zn | PBE | optimized geometry

a = 5.1765 Å, b = 5.1765 Å, c = 20.8572 Å
α = 90.00°, β = 90.00°, γ = 90.00°
Positions (direct):
1 Nd 0.0000 0.0000 0.7567
2 Nd 0.0000 0.0000 0.5000
3 Nd 0.0000 0.0000 0.2433
4 La 0.5000 0.5000 0.5000
5 La 0.0000 0.5000 0.1170
6 La 0.5000 0.0000 0.6284
7 La 0.5000 0.0000 0.3716
8 La 0.5000 0.0000 0.8830
9 La 0.0000 0.5000 0.6284
10 La 0.0000 0.5000 0.3716
11 La 0.5000 0.0000 0.1170
12 La 0.5000 0.5000 0.7562
13 La 0.5000 0.5000 0.0000
14 La 0.5000 0.5000 0.2438
15 La 0.0000 0.5000 0.8830
16 Zn 0.0000 0.0000 0.0000

Summary:
Total energy = -4.6694 eV per atom
Formation enthalpy at 0 K = 0 meV per atom
SG = P4/mmm, No. 123

=====

CeGa2F8 | PBE | optimized geometry

a = 5.2707 Å, b = 6.4898 Å, c = 6.4898 Å
α = 51.75°, β = 85.07°, γ = 85.07°
Site moments in Bohr magnetons follow the coordinates.
Positions (direct):
1 Ce 0.0000 0.0000 0.0000  1.01
2 F 0.7363 0.6538 0.1483  0.00
3 F 0.7538 0.6148 0.6148  0.02
4 F 0.7412 0.1754 0.1754  0.01
5 F 0.7363 0.1483 0.6538  0.00
6 F 0.2637 0.3462 0.8517  0.00
7 F 0.2462 0.3852 0.3852  0.02
8 F 0.2637 0.8517 0.3462  0.00
9 F 0.2588 0.8246 0.8246  0.01
10 Ga 0.4177 0.6703 0.6703  0.05
11 Ga 0.5823 0.3297 0.3297  0.05

Summary:
Total energy = -5.2529 eV per atom
Energy relative to the elements, uncorrected = -2.802 eV/atom
ΔE to the lowest computed polymorph = 21.2 meV/atom
SG = C2/m, No. 12

=====

Mg2PtCl | PBE | optimized geometry

a = 4.0260 Å, b = 4.0260 Å, c = 8.2186 Å
α = 64.12°, β = 64.12°, γ = 45.53°
Positions (direct):
1 Cl 0.7500 0.7500 0.7500
2 Pt 0.2500 0.2500 0.2500
3 Mg 0.0696 0.0696 0.0408
4 Mg 0.4304 0.4304 0.4592

Summary:
Total energy = -3.6278 eV per atom
Energy relative to the elements, uncorrected = -0.859 eV/atom
ΔE to the lowest computed polymorph = 136.0 meV/atom
SG = C2/m, No. 12

=====

Ho5Cu12Ni2 | PBE | optimized geometry

a = 6.5157 Å, b = 6.8092 Å, c = 7.7883 Å
α = 64.08°, β = 87.70°, γ = 90.00°
Positions (direct):
1 Cu 0.3259 0.4448 0.1104
2 Cu 0.6544 0.5950 0.1939
3 Cu 0.0896 0.0928 0.8144
4 Cu 0.7627 0.3205 0.7310
5 Cu 0.6544 0.2111 0.1939
6 Cu 0.6741 0.5552 0.8896
7 Cu 0.7627 0.9485 0.7310
8 Cu 0.9104 0.9072 0.1856
9 Cu 0.3456 0.4050 0.8061
10 Cu 0.2373 0.6795 0.2690
11 Cu 0.2373 0.0515 0.2690
12 Cu 0.3456 0.7889 0.8061
13 Ho 0.5000 0.0000 0.0000
14 Ho 0.0442 0.6907 0.6187
15 Ho 0.4354 0.2417 0.5167
16 Ho 0.5646 0.7583 0.4833
17 Ho 0.9558 0.3093 0.3813
18 Ni 0.0000 0.3166 0.0000
19 Ni 0.0000 0.6834 0.0000

Summary:
Total energy = -4.5322 eV per atom
Formation enthalpy at 0 K = -132 meV per atom
SG = C2/m, No. 12

=====

La2Sc2Sn2H | PBE | optimized geometry

a = 4.5452 Å, b = 4.5452 Å, c = 9.0504 Å
α = 104.54°, β = 104.54°, γ = 90.00°
Site moments in Bohr magnetons follow the coordinates.
Positions (direct):
1 Sn 0.6223 0.6223 0.2446  -0.03
2 Sn 0.3777 0.3777 0.7554  -0.03
3 La 0.1756 0.1756 0.3512  0.21
4 La 0.8244 0.8244 0.6488  0.21
5 Sc 0.5000 0.0000 0.0000  0.40
6 Sc 0.0000 0.5000 0.0000  0.40
7 H 0.0000 0.0000 0.0000  -0.01

Summary:
Total energy = -5.5311 eV per atom
SG = I4/mmm, No. 139

=====

Na2TaReI | PBE | optimized geometry

a = 5.0419 Å, b = 5.2233 Å, c = 5.0419 Å
α = 90.00°, β = 90.00°, γ = 90.00°
Positions (direct):
1 I 0.0000 0.0000 0.0000
2 Na 0.0000 0.0000 0.5000
3 Na 0.5000 0.0000 0.0000
4 Ta 0.5000 0.5000 0.5000
5 Re 0.0000 0.5000 0.0000

Summary:
Total energy = -3.6273 eV per atom
Energy relative to the elements, uncorrected = 2.070 eV/atom
SG = P4/mmm, No. 123

=====

Nd3Ho2Er6 | PBE | optimized geometry

a = 4.7361 Å, b = 4.7361 Å, c = 16.9057 Å
α = 98.05°, β = 98.05°, γ = 90.00°
Positions (direct):
1 Er 0.1204 0.6204 0.2408
2 Er 0.3796 0.8796 0.7592
3 Er 0.8796 0.3796 0.7592
4 Er 0.6920 0.6920 0.3840
5 Er 0.6204 0.1204 0.2408
6 Er 0.3080 0.3080 0.6160
7 Nd 0.0000 0.0000 0.0000
8 Nd 0.7959 0.7959 0.5918
9 Nd 0.2041 0.2041 0.4082
10 Ho 0.5463 0.5463 0.0926
11 Ho 0.4537 0.4537 0.9074

Summary:
Total energy = -4.3453 eV per atom
Formation enthalpy at 0 K = 276 meV per atom
ΔE to the lowest computed polymorph = 115.3 meV/atom
SG = I4/mmm, No. 139

=====

Ba2LiMg3 | PBE | optimized geometry

a = 6.5980 Å, b = 6.5980 Å, c = 6.6490 Å
α = 89.99°, β = 119.39°, γ = 120.38°
Positions (direct):
1 Mg 0.5000 0.5000 0.5000
2 Mg 0.5000 0.0000 0.5000
3 Mg 0.0000 0.0000 0.5000
4 Ba 0.7521 0.3765 0.1286
5 Ba 0.2479 0.6235 0.8714
6 Li 0.0000 0.0000 0.0000

Summary:
Total energy = -1.8088 eV per atom
Formation enthalpy at 0 K = -52 meV per atom
SG = C2/m, No. 12

=====

ZrTiCo2 | PBE | optimized geometry

a = 4.3754 Å, b = 4.3754 Å, c = 4.3754 Å
α = 60.00°, β = 60.00°, γ = 60.00°
Site moments in Bohr magnetons follow the coordinates.
Positions (direct):
1 Co 0.7500 0.7500 0.7500  0.95
2 Co 0.2500 0.2500 0.2500  0.95
3 Ti 0.0000 0.0000 0.0000  0.01
4 Zr 0.5000 0.5000 0.5000  -0.06

Summary:
Total energy = -7.9586 eV per atom
Formation enthalpy at 0 K = -295 meV per atom
ΔE to the lowest computed polymorph = 29.2 meV/atom
SG = Fm-3m, No. 225

=====

PrHo2Tm | PBE | optimized geometry

a = 3.5604 Å, b = 3.5604 Å, c = 10.1092 Å
α = 90.00°, β = 90.00°, γ = 90.00°
Positions (direct):
1 Pr 0.5000 0.5000 0.5000
2 Tm 0.5000 0.5000 0.0000
3 Ho 0.0000 0.0000 0.7574
4 Ho 0.0000 0.0000 0.2426

Summary:
Total energy = -4.5724 eV per atom
Formation enthalpy at 0 K = 29 meV per atom
ΔE to the lowest computed polymorph = 13.2 meV/atom
SG = P4/mmm, No. 123